A plane-wave DFT calculation with PBE-GGA was carried out for a relaxed La7Pm4Mg crystal.

abc: 6.3865 7.3553 9.2000
angles: 89.93 76.88 89.84
Closest atoms and distances in Å follow each position.
Sites, in units of the cell vectors:
La (0.0000, 0.0000, 0.0000)  4 Pm 3.65, 2 Mg 3.68, 6 La 3.69-3.71
La (0.2165, 0.5024, 0.3371)  5 La 3.59-3.70, 6 Pm 3.65-3.69, 1 Mg 3.67
La (0.2306, 0.0009, 0.3336)  6 Pm 3.64-3.76, 6 La 3.67-3.74
La (0.4997, 0.2548, 0.9999)  8 La 3.61-3.75, 2 Pm 3.61, 2 Mg 3.66-3.67
La (0.5003, 0.7452, 0.0001)  8 La 3.61-3.75, 2 Pm 3.61, 2 Mg 3.66-3.67
La (0.7694, 0.9991, 0.6664)  6 Pm 3.64-3.76, 6 La 3.67-3.74
La (0.7835, 0.4976, 0.6629)  5 La 3.59-3.70, 6 Pm 3.65-3.69, 1 Mg 3.67
Pm (0.2781, 0.2527, 0.6718)  8 La 3.61-3.76, 3 Pm 3.62-3.74, 1 Mg 3.62
Pm (0.2776, 0.7452, 0.6727)  8 La 3.61-3.75, 1 Mg 3.61, 3 Pm 3.62-3.74
Pm (0.7224, 0.2548, 0.3273)  8 La 3.61-3.75, 1 Mg 3.61, 3 Pm 3.62-3.74
Pm (0.7219, 0.7473, 0.3282)  8 La 3.61-3.76, 3 Pm 3.62-3.74, 1 Mg 3.62
Mg (0.0000, 0.5000, 0.0000)  4 Pm 3.61-3.62, 8 La 3.66-3.68

Results
The value obtained for the formation energy is 0.009 eV per atom. The density of states at the Fermi level comes out at 1.455 states/eV per atom. The value obtained for the total moment is 0.0 μB/f.u.